# K2Ag3 | the Alexandria database | PBE | relaxed
data_K2Ag3
_chemical_formula_sum 'K2 Ag3'
_symmetry_space_group_name_H-M 'P -3 m 1'
_symmetry_Int_Tables_number 164
_symmetry_space_group_name_Hall '-P 3 2"'
_cell_length_a 4.8182
_cell_length_b 4.8182
_cell_length_c 9.3494
_cell_angle_alpha 90.00
_cell_angle_beta 90.00
_cell_angle_gamma 120.00
loop_
_atom_site_label
_atom_site_fract_x
_atom_site_fract_y
_atom_site_fract_z
K1 0.3333 0.6667 0.2049
Ag1 0.0000 0.0000 0.5000
Ag2 0.3333 0.6667 0.5475
# - Total moment: 0.0 μB/f.u.
# - Formation energy from the elements: 13 meV/atom
# - Uncorrected energy: -2.136 eV/atom

=====

# KAg2 | the Alexandria database | PBE | relaxed
data_KAg2
_chemical_formula_sum 'K4 Ag8'
_symmetry_space_group_name_H-M 'C m c m'
_symmetry_Int_Tables_number 63
_symmetry_space_group_name_Hall '-C 2c 2'
_cell_length_a 2.931
_cell_length_b 22.316
_cell_length_c 5.053
_cell_angle_alpha 90.00
_cell_angle_beta 90.00
_cell_angle_gamma 90.00
loop_
_atom_site_label
_atom_site_fract_x
_atom_site_fract_y
_atom_site_fract_z
K1 0.000 0.121 0.250
Ag1 0.000 0.238 0.750
Ag2 0.000 0.476 0.250
# - Total moment: 0.0 μB/f.u.
# - Formation energy from the elements: 152 meV/atom
# - Uncorrected energy: -2.115 eV/atom

=====

# KAg3 | the Alexandria database | PBE | relaxed
data_KAg3
_chemical_formula_sum 'K4 Ag12'
_symmetry_space_group_name_H-M 'P 63/m m c'
_symmetry_Int_Tables_number 194
_symmetry_space_group_name_Hall '-P 6c 2c'
_cell_length_a 7.3330
_cell_length_b 7.3330
_cell_length_c 8.9273
_cell_angle_alpha 90.00
_cell_angle_beta 90.00
_cell_angle_gamma 120.00
loop_
_atom_site_label
_atom_site_fract_x
_atom_site_fract_y
_atom_site_fract_z
K1 0.0000 0.0000 0.0000
K2 0.3333 0.6667 0.2500
Ag1 0.0000 0.5000 0.0000
Ag2 0.2073 0.4146 0.7500
# - Total moment: 0.0 μB/f.u.
# - Formation energy from the elements: 192 meV/atom
# - Uncorrected energy: -2.221 eV/atom

=====

# K8Ag | the Alexandria database | PBE | relaxed
data_K8Ag
_chemical_formula_sum 'K16 Ag2'
_symmetry_space_group_name_H-M 'I 4/m m m'
_symmetry_Int_Tables_number 139
_symmetry_space_group_name_Hall '-I 4 2'
_cell_length_a 12.687
_cell_length_b 12.687
_cell_length_c 6.537
_cell_angle_alpha 90.00
_cell_angle_beta 90.00
_cell_angle_gamma 90.00
loop_
_atom_site_label
_atom_site_fract_x
_atom_site_fract_y
_atom_site_fract_z
K1 0.000 0.309 0.000
K2 0.154 0.154 0.500
Ag1 0.000 0.000 0.000
# - Total moment: 0.0 μB/f.u.
# - Formation energy from the elements: 68 meV/atom
# - Uncorrected energy: -1.224 eV/atom